Record 1
A plane-wave DFT calculation with GGA-PBEsol was carried out for a relaxed structure of BeAl4Ni.

## Properties
Calculated volume ... 90.0 Å³ per cell
Crystal system ... cubic
Energy relative to the elements ... 460.9 meV per atom
VASP energy ... -3.960 eV per atom
SG ... F-43m
Magnetic moment ... 0.00 μB/f.u.

a b c (Å): 5.0303 5.0303 5.0303
angles (deg): 60.00 60.00 60.00
Fractional coordinates of all 6 atoms:
Be  0.0000  0.0000  0.0000
Al  0.1245  0.6252  0.6252
Al  0.6252  0.1245  0.6252
Al  0.6252  0.6252  0.1245
Al  0.6252  0.6252  0.6252
Ni  0.2500  0.2500  0.2500

***

Record 2
A plane-wave DFT calculation with GGA-PBEsol was carried out for a relaxed structure of BeAlNi2.

## Properties
Calculated volume ... 41.3 Å³ per cell
Crystal system ... tetragonal
Energy relative to the elements ... -506.4 meV per atom
VASP energy ... -5.608 eV per atom
SG ... P4/mmm
Magnetic moment ... 0.00 μB/f.u.

a b c (Å): 3.6683 3.6683 3.0692
angles (deg): 90.00 90.00 90.00
Fractional coordinates of all 4 atoms:
Be  0.0000  0.0000  0.0000
Al  0.5000  0.5000  0.0000
Ni  0.0000  0.5000  0.5000
Ni  0.5000  0.0000  0.5000

***

Record 3
A plane-wave DFT calculation with GGA-PBEsol was carried out for a relaxed structure of BeAlNi.

## Properties
Calculated volume ... 31.8 Å³ per cell
Crystal system ... tetragonal
Energy relative to the elements ... -412.1 meV per atom
VASP energy ... -5.162 eV per atom
SG ... I4mm
Magnetic moment ... 0.00 μB/f.u.

a b c (Å): 4.4319 4.4319 4.4319
angles (deg): 142.67 142.67 53.81
Fractional coordinates of all 3 atoms:
Be  0.0000  0.0000  0.0000
Al  0.6868  0.6868  0.0000
Ni  0.3669  0.3669  0.0000

***

Record 4
A plane-wave DFT calculation with GGA-PBEsol was carried out for a relaxed structure of Be2AlNi.

## Properties
Calculated volume ... 43.2 Å³ per cell
Crystal system ... trigonal
Energy relative to the elements ... 48.0 meV per atom
VASP energy ... -4.514 eV per atom
SG ... R-3m
Magnetic moment ... 0.00 μB/f.u.

a b c (Å): 7.7256 7.7256 7.7256
angles (deg): 19.11 19.11 19.11
Fractional coordinates of all 4 atoms:
Be  0.2405  0.2405  0.2405
Be  0.7595  0.7595  0.7595
Al  0.0000  0.0000  0.0000
Ni  0.5000  0.5000  0.5000

***

Record 5
A plane-wave DFT calculation with GGA-PBEsol was carried out for a relaxed structure of Be2AlNi.

## Properties
Calculated volume ... 39.9 Å³ per cell
Crystal system ... tetragonal
Energy relative to the elements ... -280.4 meV per atom
VASP energy ... -4.843 eV per atom
SG ... I4/mmm
Magnetic moment ... 0.00 μB/f.u.

a b c (Å): 4.1821 4.1821 4.1821
angles (deg): 131.69 131.69 70.71
Fractional coordinates of all 4 atoms:
Be  0.2500  0.7500  0.5000
Be  0.7500  0.2500  0.5000
Al  0.0000  0.0000  0.0000
Ni  0.5000  0.5000  0.0000

***

Record 6
A plane-wave DFT calculation with GGA-PBEsol was carried out for a relaxed structure of BeAlNi2.

## Properties
Calculated volume ... 43.7 Å³ per cell
Crystal system ... trigonal
Energy relative to the elements ... -68.2 meV per atom
VASP energy ... -5.170 eV per atom
SG ... R3m
Magnetic moment ... 0.00 μB/f.u.

a b c (Å): 7.8127 7.8127 7.8127
angles (deg): 18.89 18.89 18.89
Fractional coordinates of all 4 atoms:
Be  0.0000  0.0000  0.0000
Al  0.2425  0.2425  0.2425
Ni  0.4919  0.4919  0.4919
Ni  0.7384  0.7384  0.7384